# 1
Entry from Alexandria via LeMat-Bulk: LaH3Rh after structural relaxation (PBEsol).

abc: 4.1775 4.1775 4.1775
angles: 90.00 90.00 90.00
Element x y z (fractional)
H 0.0000 0.5000 0.0000
H 0.0000 0.0000 0.5000
H 0.5000 0.0000 0.0000
Rh 0.5000 0.5000 0.5000
La 0.0000 0.0000 0.0000



# 2
Entry from Alexandria via LeMat-Bulk: LaH3Rh after structural relaxation (PBEsol).

abc: 3.7427 3.7427 3.7427
angles: 90.00 90.00 90.00
Element x y z (fractional)
H 0.0000 0.5000 0.0000
H 0.0000 0.0000 0.5000
H 0.5000 0.0000 0.0000
Rh 0.0000 0.0000 0.0000
La 0.5000 0.5000 0.5000



# 3
Entry from Alexandria via LeMat-Bulk: LaSnHRh2 after structural relaxation (PBEsol).

abc: 3.7328 4.9850 4.9850
angles: 90.00 90.00 90.00
Element x y z (fractional)
H 0.5000 0.0000 0.0000
Rh 0.0000 0.0000 0.5000
Rh 0.0000 0.5000 0.0000
Sn 0.5000 0.5000 0.5000
La 0.0000 0.0000 0.0000



# 4
Entry from Alexandria via LeMat-Bulk: LaZrH2Rh after structural relaxation (PBEsol).

abc: 4.0208 4.0208 5.1326
angles: 90.00 90.00 90.00
Element x y z (fractional)
H 0.0000 0.5000 0.0000
H 0.5000 0.0000 0.0000
Rh 0.0000 0.0000 0.5000
Zr 0.0000 0.0000 0.0000
La 0.5000 0.5000 0.5000



# 5
Entry from Alexandria via LeMat-Bulk: La3HRu after structural relaxation (PBEsol).

abc: 4.7768 4.7768 4.7768
angles: 90.00 90.00 90.00
Element x y z (fractional)
Ru 0.5000 0.5000 0.5000
H 0.0000 0.0000 0.0000
La 0.0000 0.5000 0.0000
La 0.0000 0.0000 0.5000
La 0.5000 0.0000 0.0000



# 6
Entry from Alexandria via LeMat-Bulk: LaH3Ru after structural relaxation (PBEsol).

abc: 3.7213 3.7213 3.7213
angles: 90.00 90.00 90.00
Element x y z (fractional)
Ru 0.0000 0.0000 0.0000
La 0.5000 0.5000 0.5000
H 0.0000 0.5000 0.0000
H 0.0000 0.0000 0.5000
H 0.5000 0.0000 0.0000



# 7
Entry from Alexandria via LeMat-Bulk: La2TeHRu after structural relaxation (PBEsol).

abc: 4.7135 5.9264 5.9264
angles: 90.00 90.00 90.00
Element x y z (fractional)
Ru 0.5000 0.0000 0.0000
Te 0.0000 0.0000 0.0000
H 0.5000 0.5000 0.5000
La 0.0000 0.0000 0.5000
La 0.0000 0.5000 0.0000



# 8
Entry from Alexandria via LeMat-Bulk: La2SbH2 after structural relaxation (PBEsol).

abc: 4.0513 4.0513 6.7113
angles: 107.57 107.57 90.00
Element x y z (fractional)
Sb 0.0000 0.0000 0.0000
La 0.3582 0.3582 0.7163
La 0.6418 0.6418 0.2837
H 0.2500 0.7500 0.5000
H 0.7500 0.2500 0.5000



Number 1: energy -3.995 eV per atom. Number 2: energy -5.289 eV per atom. Number 3: energy -5.420 eV per atom. Number 4: energy -6.121 eV per atom. Number 5: energy -5.796 eV per atom. Number 6: energy -5.544 eV per atom. Number 7: energy -4.905 eV per atom. Number 8: energy -5.248 eV per atom.